1.
# CoMoOs, relaxed, DFT PBE
data_CoMoOs
_chemical_formula_sum 'Co4 Mo4 Os4'
_symmetry_space_group_name_H-M 'C m c m'
_symmetry_Int_Tables_number 63
_symmetry_space_group_name_Hall '-C 2c 2'
_cell_length_a 2.7028
_cell_length_b 13.8827
_cell_length_c 4.3124
_cell_angle_alpha 90.00
_cell_angle_beta 90.00
_cell_angle_gamma 90.00
loop_
_atom_site_label
_atom_site_fract_x
_atom_site_fract_y
_atom_site_fract_z
Co1 0.0000 0.0568 0.2500
Mo1 0.0000 0.3977 0.2500
Os1 0.0000 0.2814 0.7500
# energy of formation	12	meV per atom
# total magnetic moment	0.0	μB/f.u.
# E above lowest polymorph	0	meV per atom

2.
# ZrTi2SiC, relaxed, DFT PBE
data_ZrTi2SiC
_chemical_formula_sum 'Zr1 Ti2 Si1 C1'
_symmetry_space_group_name_H-M 'P 4/m m m'
_symmetry_Int_Tables_number 123
_symmetry_space_group_name_Hall '-P 4 2'
_cell_length_a 4.8282
_cell_length_b 4.8282
_cell_length_c 4.9287
_cell_angle_alpha 90.00
_cell_angle_beta 90.00
_cell_angle_gamma 90.00
loop_
_atom_site_label
_atom_site_fract_x
_atom_site_fract_y
_atom_site_fract_z
Zr1 0.0000 0.0000 0.0000
Ti1 0.0000 0.5000 0.0000
Si1 0.0000 0.0000 0.5000
C1 0.5000 0.5000 0.5000
# uncorrected formation energy	2.31	eV/atom
# total magnetic moment	1.5	μB/f.u.

3.
# PmMgAu3, relaxed, DFT PBE
data_PmMgAu3
_chemical_formula_sum 'Pm2 Mg2 Au6'
_symmetry_space_group_name_H-M 'I 4 m m'
_symmetry_Int_Tables_number 107
_symmetry_space_group_name_Hall 'I 4 -2'
_cell_length_a 4.3536
_cell_length_b 4.3536
_cell_length_c 11.7031
_cell_angle_alpha 90.00
_cell_angle_beta 90.00
_cell_angle_gamma 90.00
loop_
_atom_site_label
_atom_site_fract_x
_atom_site_fract_y
_atom_site_fract_z
Pm1 0.0000 0.0000 0.0000
Mg1 0.0000 0.0000 0.6362
Au1 0.0000 0.0000 0.4200
Au2 0.0000 0.5000 0.2629
# energy of formation	-502	meV per atom
# total magnetic moment	0.0	μB/f.u.

4.
# SmYTh2Se4, relaxed, DFT PBE
data_SmYTh2Se4
_chemical_formula_sum 'Sm1 Y1 Th2 Se4'
_symmetry_space_group_name_H-M 'P 1 2/m 1'
_symmetry_Int_Tables_number 10
_cell_length_a 7.0632
_cell_length_b 4.1420
_cell_length_c 7.3999
_cell_angle_alpha 90.00
_cell_angle_beta 109.06
_cell_angle_gamma 90.00
loop_
_symmetry_equiv_pos_as_xyz
'x,y,z'
'-x,-y,-z'
'-x,y,-z'
'x,-y,z'
loop_
_atom_site_label
_atom_site_fract_x
_atom_site_fract_y
_atom_site_fract_z
Sm1 0.0000 0.0000 0.0000
Y1 0.5000 0.5000 0.0000
Th1 0.0000 0.5000 0.5000
Th2 0.5000 0.0000 0.5000
Se1 0.2505 0.5000 0.2405
Se2 0.2573 0.0000 0.7619
# uncorrected formation energy	-1.65	eV/atom
# total magnetic moment	0.0	μB/f.u.

5.
# CeNd2HoSb4, relaxed, DFT PBE
data_CeNd2HoSb4
_chemical_formula_sum 'Ce1 Nd2 Ho1 Sb4'
_symmetry_space_group_name_H-M 'P 1 2/m 1'
_symmetry_Int_Tables_number 10
_cell_length_a 7.7480
_cell_length_b 4.4801
_cell_length_c 7.7623
_cell_angle_alpha 90.00
_cell_angle_beta 109.42
_cell_angle_gamma 90.00
loop_
_symmetry_equiv_pos_as_xyz
'x,y,z'
'-x,-y,-z'
'-x,y,-z'
'x,-y,z'
loop_
_atom_site_label
_atom_site_fract_x
_atom_site_fract_y
_atom_site_fract_z
Ce1 0.0000 0.0000 0.0000
Nd1 0.0000 0.5000 0.5000
Nd2 0.5000 0.0000 0.5000
Ho1 0.5000 0.5000 0.0000
Sb1 0.2510 0.5000 0.2441
Sb2 0.2553 0.0000 0.7583
# uncorrected formation energy	-1.13	eV/atom
# total magnetic moment	0.7	μB/f.u.

6.
# KLiMg14O15, relaxed, DFT PBE
data_KLiMg14O15
_chemical_formula_sum 'K1 Li1 Mg14 O15'
_symmetry_space_group_name_H-M 'P m m 2'
_symmetry_Int_Tables_number 25
_cell_length_a 4.3715
_cell_length_b 8.5677
_cell_length_c 8.8022
_cell_angle_alpha 90.00
_cell_angle_beta 90.00
_cell_angle_gamma 90.00
loop_
_symmetry_equiv_pos_as_xyz
'x,y,z'
'-x,-y,z'
'-x,y,z'
'x,-y,z'
loop_
_atom_site_label
_atom_site_fract_x
_atom_site_fract_y
_atom_site_fract_z
K1 0.0000 0.0000 0.0000
Li1 0.0000 0.5000 0.4585
Mg1 0.0000 0.0000 0.4867
Mg2 0.0000 0.2285 0.7249
Mg3 0.0000 0.2511 0.2543
Mg4 0.0000 0.5000 0.0063
Mg5 0.5000 0.0000 0.2482
Mg6 0.5000 0.0000 0.7266
Mg7 0.5000 0.2511 0.9696
Mg8 0.5000 0.2585 0.4870
Mg9 0.5000 0.5000 0.2390
Mg10 0.5000 0.5000 0.7295
O1 0.0000 0.0000 0.2659
O2 0.0000 0.0000 0.7098
O3 0.0000 0.2555 0.4902
O4 0.0000 0.2835 0.9468
O5 0.0000 0.5000 0.2330
O6 0.5000 0.0000 0.4870
O7 0.5000 0.0000 0.9537
O8 0.5000 0.2494 0.2309
O9 0.5000 0.2618 0.7247
O10 0.5000 0.5000 0.4904
O11 0.5000 0.5000 0.9752
# uncorrected formation energy	-2.40	eV/atom
# total magnetic moment	0.0	μB/f.u.
# E above lowest polymorph	9	meV per atom

7.
# KTl8Sb4, relaxed, DFT PBE
data_KTl8Sb4
_chemical_formula_sum 'K2 Tl16 Sb8'
_symmetry_space_group_name_H-M 'I 4/m m m'
_symmetry_Int_Tables_number 139
_symmetry_space_group_name_Hall '-I 4 2'
_cell_length_a 11.7882
_cell_length_b 11.7882
_cell_length_c 6.1993
_cell_angle_alpha 90.00
_cell_angle_beta 90.00
_cell_angle_gamma 90.00
loop_
_atom_site_label
_atom_site_fract_x
_atom_site_fract_y
_atom_site_fract_z
K1 0.0000 0.0000 0.0000
Tl1 0.0000 0.2048 0.5000
Tl2 0.0000 0.3564 0.0000
Sb1 0.2500 0.2500 0.2500
# uncorrected formation energy	-0.01	eV/atom
# total magnetic moment	0.0	μB/f.u.

8.
# ReHg2As, relaxed, DFT PBE
data_ReHg2As
_chemical_formula_sum 'Re3 Hg6 As3'
_symmetry_space_group_name_H-M 'R 3 m'
_symmetry_Int_Tables_number 160
_symmetry_space_group_name_Hall 'R 3 -2"'
_cell_length_a 3.0303
_cell_length_b 3.0303
_cell_length_c 32.1429
_cell_angle_alpha 90.00
_cell_angle_beta 90.00
_cell_angle_gamma 120.00
loop_
_atom_site_label
_atom_site_fract_x
_atom_site_fract_y
_atom_site_fract_z
Re1 0.0000 0.0000 0.0000
Hg1 0.0000 0.0000 0.5094
Hg2 0.0000 0.0000 0.7430
As1 0.0000 0.0000 0.2779
# energy of formation	250	meV per atom
# total magnetic moment	0.0	μB/f.u.

9.
# K2BaGa, relaxed, DFT PBE
data_K2BaGa
_chemical_formula_sum 'K6 Ba3 Ga3'
_symmetry_space_group_name_H-M 'R -3 m'
_symmetry_Int_Tables_number 166
_symmetry_space_group_name_Hall '-R 3 2"'
_cell_length_a 4.1716
_cell_length_b 4.1716
_cell_length_c 43.6787
_cell_angle_alpha 90.00
_cell_angle_beta 90.00
_cell_angle_gamma 120.00
loop_
_atom_site_label
_atom_site_fract_x
_atom_site_fract_y
_atom_site_fract_z
K1 0.0000 0.0000 0.0774
Ba1 0.0000 0.0000 0.5000
Ga1 0.0000 0.0000 0.0000
# energy of formation	361	meV per atom
# total magnetic moment	0.2	μB/f.u.

10.
# BaBi2Ir, relaxed, DFT PBE
data_BaBi2Ir
_chemical_formula_sum 'Ba4 Bi8 Ir4'
_symmetry_space_group_name_H-M 'I -4 2 d'
_symmetry_Int_Tables_number 122
_symmetry_space_group_name_Hall 'I -4 2bw'
_cell_length_a 5.6536
_cell_length_b 5.6536
_cell_length_c 18.1075
_cell_angle_alpha 90.00
_cell_angle_beta 90.00
_cell_angle_gamma 90.00
loop_
_atom_site_label
_atom_site_fract_x
_atom_site_fract_y
_atom_site_fract_z
Ba1 0.0000 0.0000 0.0000
Bi1 0.1128 0.2500 0.6250
Ir1 0.0000 0.0000 0.5000
# energy of formation	37	meV per atom
# total magnetic moment	0.0	μB/f.u.

11.
# KNaErCl5, relaxed, DFT PBE
data_KNaErCl5
_chemical_formula_sum 'K4 Na4 Er4 Cl20'
_symmetry_space_group_name_H-M 'C 1 2/c 1'
_symmetry_Int_Tables_number 15
_cell_length_a 8.6335
_cell_length_b 12.8029
_cell_length_c 10.0295
_cell_angle_alpha 90.00
_cell_angle_beta 110.71
_cell_angle_gamma 90.00
loop_
_symmetry_equiv_pos_as_xyz
'x,y,z'
'-x,-y,-z'
'-x,y,-z+1/2'
'x,-y,z+1/2'
'x+1/2,y+1/2,z'
'-x+1/2,-y+1/2,-z'
'-x+1/2,y+1/2,-z+1/2'
'x+1/2,-y+1/2,z+1/2'
loop_
_atom_site_label
_atom_site_fract_x
_atom_site_fract_y
_atom_site_fract_z
K1 0.0000 0.1531 0.2500
Na1 0.0000 0.1872 0.7500
Er1 0.0000 0.5000 0.0000
Cl1 0.0000 0.4269 0.2500
Cl2 0.1108 0.3145 0.5958
Cl3 0.1919 0.0542 0.9430
# uncorrected formation energy	-2.09	eV/atom
# total magnetic moment	0.0	μB/f.u.